No. 1
# SrMgGaHg2

A crystal of SrMgGaHg2 relaxed with PBEsol (SCAN, Alexandria).

Computed properties:
symmetry = P4/mmm
E_form = 7 kJ/mol of atoms

Cell lengths 5.138, 5.138, 5.921 Å; angles 90.00, 90.00, 90.00 degrees
Atoms (fractional coordinates):
Sr  0.000  0.000  0.000
Mg  0.500  0.500  0.000
Ga  0.000  0.000  0.500
Hg  0.000  0.500  0.500
Hg  0.500  0.000  0.500


No. 2
# MnGaHg3

A crystal of MnGaHg3 relaxed with PBEsol (SCAN, Alexandria).

Computed properties:
symmetry = Pm-3m
E_form = 39 kJ/mol of atoms

Cell lengths 5.065, 5.065, 5.065 Å; angles 90.00, 90.00, 90.00 degrees
Atoms (fractional coordinates):
Mn  0.000  0.000  0.000
Ga  0.500  0.500  0.500
Hg  0.000  0.500  0.500
Hg  0.500  0.000  0.500
Hg  0.500  0.500  0.000


No. 3
# MnGaHg2Pd

A crystal of MnGaHg2Pd relaxed with PBEsol (SCAN, Alexandria).

Computed properties:
symmetry = P4/mmm
E_form = 56 kJ/mol of atoms

Cell lengths 4.854, 4.854, 4.657 Å; angles 90.00, 90.00, 90.00 degrees
Atoms (fractional coordinates):
Mn  0.000  0.000  0.000
Ga  0.000  0.000  0.500
Hg  0.000  0.500  0.500
Hg  0.500  0.000  0.500
Pd  0.500  0.500  0.000


No. 4
# MnGa2HgPt

A crystal of MnGa2HgPt relaxed with PBEsol (SCAN, Alexandria).

Computed properties:
symmetry = P4/mmm
E_form = 79 kJ/mol of atoms

Cell lengths 4.830, 4.830, 5.122 Å; angles 90.00, 90.00, 90.00 degrees
Atoms (fractional coordinates):
Mn  0.000  0.000  0.000
Ga  0.000  0.500  0.500
Ga  0.500  0.000  0.500
Hg  0.500  0.500  0.500
Pt  0.500  0.500  0.000


No. 5
# Ga2HgN2

A crystal of Ga2HgN2 relaxed with PBEsol (SCAN, Alexandria).

Computed properties:
symmetry = I4/mmm
energy relative to the elements, uncorrected = 170 meV/atom

Cell lengths 6.719, 6.719, 6.719 Å; angles 147.55, 147.55, 46.55 degrees
Atoms (fractional coordinates):
Ga  0.250  0.750  0.500
Ga  0.750  0.250  0.500
Hg  0.000  0.000  0.000
N  0.299  0.299  0.000
N  0.701  0.701  0.000


No. 6
# GaHg2PN

A crystal of GaHg2PN relaxed with PBEsol (SCAN, Alexandria).

Computed properties:
symmetry = P4/mmm
energy relative to the elements, uncorrected = 462 meV/atom

Cell lengths 5.351, 5.351, 3.303 Å; angles 90.00, 90.00, 90.00 degrees
Atoms (fractional coordinates):
Ga  0.000  0.000  0.000
Hg  0.000  0.500  0.500
Hg  0.500  0.000  0.500
P  0.500  0.500  0.500
N  0.500  0.500  0.000


No. 7
# GaHgTe2N

A crystal of GaHgTe2N relaxed with PBEsol (SCAN, Alexandria).

Computed properties:
symmetry = P4/mmm
energy relative to the elements, uncorrected = 1071 meV/atom

Cell lengths 5.798, 5.798, 3.973 Å; angles 90.00, 90.00, 90.00 degrees
Atoms (fractional coordinates):
Ga  0.000  0.000  0.000
Hg  0.500  0.500  0.500
Te  0.000  0.500  0.500
Te  0.500  0.000  0.500
N  0.500  0.500  0.000


No. 8
# NaGa3Hg

A crystal of NaGa3Hg relaxed with PBEsol (SCAN, Alexandria).

Computed properties:
offset from the most stable computed form = 0 meV per atom
symmetry = Pm-3m
E_form = 37 kJ/mol of atoms

Cell lengths 5.191, 5.191, 5.191 Å; angles 90.00, 90.00, 90.00 degrees
Atoms (fractional coordinates):
Na  0.000  0.000  0.000
Ga  0.000  0.500  0.500
Ga  0.500  0.000  0.500
Ga  0.500  0.500  0.000
Hg  0.500  0.500  0.500


No. 9
# Na3GaHg

A crystal of Na3GaHg relaxed with PBEsol (SCAN, Alexandria).

Computed properties:
symmetry = Pm-3m
E_form = 19 kJ/mol of atoms

Cell lengths 5.576, 5.576, 5.576 Å; angles 90.00, 90.00, 90.00 degrees
Atoms (fractional coordinates):
Na  0.000  0.000  0.500
Na  0.000  0.500  0.000
Na  0.500  0.000  0.000
Ga  0.000  0.000  0.000
Hg  0.500  0.500  0.500


No. 10
# NaTi2GaHg

A crystal of NaTi2GaHg relaxed with PBEsol (SCAN, Alexandria).

Computed properties:
symmetry = P4/mmm
E_form = 53 kJ/mol of atoms

Cell lengths 4.758, 4.758, 4.931 Å; angles 90.00, 90.00, 90.00 degrees
Atoms (fractional coordinates):
Na  0.000  0.000  0.000
Ti  0.000  0.500  0.500
Ti  0.500  0.000  0.500
Ga  0.000  0.000  0.500
Hg  0.500  0.500  0.000


No. 11
# Ga2NiHg

A crystal of Ga2NiHg relaxed with PBEsol (SCAN, Alexandria).

Computed properties:
symmetry = Fm-3m
E_form = 31 kJ/mol of atoms

Cell lengths 4.498, 4.498, 4.498 Å; angles 60.00, 60.00, 60.00 degrees
Atoms (fractional coordinates):
Ga  0.250  0.250  0.250
Ga  0.750  0.750  0.750
Ni  0.000  0.000  0.000
Hg  0.500  0.500  0.500


No. 12
# YGa2NiHg

A crystal of YGa2NiHg relaxed with PBEsol (SCAN, Alexandria).

Computed properties:
symmetry = P4/mmm
E_form = -32 kJ/mol of atoms

Cell lengths 4.498, 4.498, 4.845 Å; angles 90.00, 90.00, 90.00 degrees
Atoms (fractional coordinates):
Y  0.000  0.000  0.000
Ga  0.000  0.500  0.500
Ga  0.500  0.000  0.500
Ni  0.500  0.500  0.500
Hg  0.500  0.500  0.000


No. 13
# GaSn2HgP

A crystal of GaSn2HgP relaxed with PBEsol (SCAN, Alexandria).

Computed properties:
symmetry = P4/mmm
E_form = 57 kJ/mol of atoms

Cell lengths 5.171, 5.171, 4.927 Å; angles 90.00, 90.00, 90.00 degrees
Atoms (fractional coordinates):
Ga  0.000  0.000  0.000
Sn  0.000  0.500  0.500
Sn  0.500  0.000  0.500
Hg  0.500  0.500  0.000
P  0.500  0.500  0.500


No. 14
# Ga3HgPb

A crystal of Ga3HgPb relaxed with PBEsol (SCAN, Alexandria).

Computed properties:
symmetry = Pm-3m
E_form = 61 kJ/mol of atoms

Cell lengths 5.414, 5.414, 5.414 Å; angles 90.00, 90.00, 90.00 degrees
Atoms (fractional coordinates):
Ga  0.000  0.000  0.500
Ga  0.000  0.500  0.000
Ga  0.500  0.000  0.000
Hg  0.500  0.500  0.500
Pb  0.000  0.000  0.000


No. 15
# Ga2Hg2Pb

A crystal of Ga2Hg2Pb relaxed with PBEsol (SCAN, Alexandria).

Computed properties:
offset from the most stable computed form = 0 meV per atom
symmetry = I4/mmm
E_form = 11 kJ/mol of atoms

Cell lengths 7.051, 7.051, 7.051 Å; angles 144.97, 144.97, 50.38 degrees
Atoms (fractional coordinates):
Ga  0.250  0.750  0.500
Ga  0.750  0.250  0.500
Hg  0.110  0.110  0.000
Hg  0.890  0.890  0.000
Pb  0.500  0.500  0.000


No. 16
# Ga2Hg2Pb

A crystal of Ga2Hg2Pb relaxed with PBEsol (SCAN, Alexandria).

Computed properties:
offset from the most stable computed form = 32 meV per atom
symmetry = P4/mbm
E_form = 14 kJ/mol of atoms

Cell lengths 8.320, 8.320, 3.280 Å; angles 90.00, 90.00, 90.00 degrees
Atoms (fractional coordinates):
Ga  0.143  0.357  0.000
Ga  0.357  0.857  0.000
Ga  0.643  0.143  0.000
Ga  0.857  0.643  0.000
Hg  0.153  0.653  0.500
Hg  0.347  0.153  0.500
Hg  0.653  0.847  0.500
Hg  0.847  0.347  0.500
Pb  0.000  0.000  0.500
Pb  0.500  0.500  0.500


No. 17
# ScGaHg2Pd

A crystal of ScGaHg2Pd relaxed with PBEsol (SCAN, Alexandria).

Computed properties:
symmetry = P4/mmm
E_form = 8 kJ/mol of atoms

Cell lengths 5.050, 5.050, 4.605 Å; angles 90.00, 90.00, 90.00 degrees
Atoms (fractional coordinates):
Sc  0.000  0.000  0.000
Ga  0.500  0.500  0.000
Hg  0.000  0.500  0.500
Hg  0.500  0.000  0.500
Pd  0.500  0.500  0.500


No. 18
# Sc2GaHgPt

A crystal of Sc2GaHgPt relaxed with PBEsol (SCAN, Alexandria).

Computed properties:
symmetry = P4/mmm
E_form = 39 kJ/mol of atoms

Cell lengths 5.114, 5.114, 4.942 Å; angles 90.00, 90.00, 90.00 degrees
Atoms (fractional coordinates):
Sc  0.000  0.500  0.000
Sc  0.500  0.000  0.000
Ga  0.000  0.000  0.500
Hg  0.500  0.500  0.000
Pt  0.500  0.500  0.500


No. 19
# ZnGaHg2Pt

A crystal of ZnGaHg2Pt relaxed with PBEsol (SCAN, Alexandria).

Computed properties:
symmetry = P4/mmm
E_form = 14 kJ/mol of atoms

Cell lengths 5.191, 5.191, 4.728 Å; angles 90.00, 90.00, 90.00 degrees
Atoms (fractional coordinates):
Zn  0.000  0.000  0.000
Ga  0.500  0.500  0.000
Hg  0.000  0.500  0.500
Hg  0.500  0.000  0.500
Pt  0.000  0.000  0.500


No. 20
# Rb2GaHg

A crystal of Rb2GaHg relaxed with PBEsol (SCAN, Alexandria).

Computed properties:
symmetry = Fm-3m
E_form = 8 kJ/mol of atoms

Cell lengths 5.940, 5.940, 5.940 Å; angles 60.00, 60.00, 60.00 degrees
Atoms (fractional coordinates):
Rb  0.250  0.250  0.250
Rb  0.750  0.750  0.750
Ga  0.000  0.000  0.000
Hg  0.500  0.500  0.500


No. 21
# SrGaRe2Hg

A crystal of SrGaRe2Hg relaxed with PBEsol (SCAN, Alexandria).

Computed properties:
symmetry = P4/mmm
E_form = 180 kJ/mol of atoms

Cell lengths 5.125, 5.125, 4.832 Å; angles 90.00, 90.00, 90.00 degrees
Atoms (fractional coordinates):
Sr  0.000  0.000  0.000
Ga  0.500  0.500  0.000
Re  0.000  0.500  0.500
Re  0.500  0.000  0.500
Hg  0.500  0.500  0.500


No. 22
# Ga2HgS

A crystal of Ga2HgS relaxed with PBEsol (SCAN, Alexandria).

Computed properties:
symmetry = Fm-3m
energy relative to the elements, uncorrected = 159 meV/atom

Cell lengths 4.850, 4.850, 4.850 Å; angles 60.00, 60.00, 60.00 degrees
Atoms (fractional coordinates):
Ga  0.250  0.250  0.250
Ga  0.750  0.750  0.750
Hg  0.000  0.000  0.000
S  0.500  0.500  0.500


No. 23
# Ga3HgS

A crystal of Ga3HgS relaxed with PBEsol (SCAN, Alexandria).

Computed properties:
symmetry = Pm-3m
energy relative to the elements, uncorrected = 421 meV/atom

Cell lengths 4.800, 4.800, 4.800 Å; angles 90.00, 90.00, 90.00 degrees
Atoms (fractional coordinates):
Ga  0.000  0.000  0.500
Ga  0.000  0.500  0.000
Ga  0.500  0.000  0.000
Hg  0.500  0.500  0.500
S  0.000  0.000  0.000


No. 24
# GaHgSb3

A crystal of GaHgSb3 relaxed with PBEsol (SCAN, Alexandria).

Computed properties:
symmetry = Pm-3m
energy relative to the elements, uncorrected = 860 meV/atom

Cell lengths 5.497, 5.497, 5.497 Å; angles 90.00, 90.00, 90.00 degrees
Atoms (fractional coordinates):
Ga  0.000  0.000  0.000
Hg  0.500  0.500  0.500
Sb  0.000  0.500  0.500
Sb  0.500  0.000  0.500
Sb  0.500  0.500  0.000


No. 25
# SrGaHg2Sb

A crystal of SrGaHg2Sb relaxed with PBEsol (SCAN, Alexandria).

Computed properties:
symmetry = P4/mmm
energy relative to the elements, uncorrected = -302 meV/atom

Cell lengths 5.096, 5.096, 5.641 Å; angles 90.00, 90.00, 90.00 degrees
Atoms (fractional coordinates):
Sr  0.000  0.000  0.000
Ga  0.500  0.500  0.500
Hg  0.000  0.500  0.500
Hg  0.500  0.000  0.500
Sb  0.500  0.500  0.000


No. 26
# GaHgSb2Te

A crystal of GaHgSb2Te relaxed with PBEsol (SCAN, Alexandria).

Computed properties:
symmetry = P4/mmm
energy relative to the elements, uncorrected = 751 meV/atom

Cell lengths 5.440, 5.440, 5.690 Å; angles 90.00, 90.00, 90.00 degrees
Atoms (fractional coordinates):
Ga  0.000  0.000  0.000
Hg  0.500  0.500  0.500
Sb  0.000  0.500  0.500
Sb  0.500  0.000  0.500
Te  0.500  0.500  0.000


No. 27
# ScGaHg

A crystal of ScGaHg relaxed with PBEsol (SCAN, Alexandria).

Computed properties:
symmetry = P-6m2
E_form = -63 kJ/mol of atoms

Cell lengths 4.422, 4.422, 6.828 Å; angles 90.00, 90.00, 120.00 degrees
Atoms (fractional coordinates):
Sc  0.000  0.000  0.000
Sc  0.000  0.000  0.500
Ga  0.667  0.333  0.198
Ga  0.667  0.333  0.802
Hg  0.333  0.667  0.286
Hg  0.333  0.667  0.714


No. 28
# Ga2Hg5Se8

A crystal of Ga2Hg5Se8 relaxed with PBEsol (SCAN, Alexandria).

Computed properties:
symmetry = I-4m2
energy relative to the elements, uncorrected = -349 meV/atom

Cell lengths 8.258, 8.258, 8.258 Å; angles 119.05, 119.05, 91.65 degrees
Atoms (fractional coordinates):
Ga  0.249  0.249  0.000
Ga  0.751  0.751  0.000
Hg  0.225  0.225  0.451
Hg  0.225  0.775  0.000
Hg  0.250  0.750  0.500
Hg  0.775  0.225  0.000
Hg  0.775  0.775  0.549
Se  0.376  0.141  0.764
Se  0.376  0.612  0.236
Se  0.388  0.624  0.764
Se  0.412  0.154  0.258
Se  0.846  0.104  0.258
Se  0.846  0.588  0.742
Se  0.859  0.624  0.236
Se  0.896  0.154  0.742


no.,M_tot (Bohr magnetons per cell)
1,0.00
2,5.14
3,4.30
4,4.99
5,0.00
6,0.00
7,2.43
8,0.00
9,0.00
10,0.01
11,0.00
12,0.00
13,0.00
14,0.00
15,0.00
16,0.00
17,0.00
18,0.00
19,0.00
20,0.02
21,4.80
22,0.00
23,0.00
24,0.00
25,0.00
26,0.00
27,0.00
28,0.00